Entry 1:
InMo2Pb: optimized geometry, PBE.

Cell and atoms, written as CIF:
```
data_InMo2Pb
_symmetry_space_group_name_H-M 'P 1'
_symmetry_Int_Tables_number 1
_cell_length_a 5.4934
_cell_length_b 5.4934
_cell_length_c 3.0252
_cell_angle_alpha 101.08
_cell_angle_beta 101.08
_cell_angle_gamma 114.04
loop_
_symmetry_equiv_pos_as_xyz
'x,y,z'
loop_
_atom_site_label
_atom_site_type_symbol
_atom_site_fract_x
_atom_site_fract_y
_atom_site_fract_z
In1 In 0.0000 0.0000 0.0000
Mo1 Mo 0.0000 0.5000 0.5000
Mo2 Mo 0.5000 0.0000 0.5000
Pb1 Pb 0.5000 0.5000 0.0000
```

Computed properties:
Energy relative to the lowest polymorph listed for this composition: 441 meV per atom
N(E_F): 4.03 states/eV per cell
Energy relative to the elements: 0.72 eV/atom

***

Entry 2:
In2MoPb: optimized geometry, PBE.

Cell and atoms, written as CIF:
```
data_In2MoPb
_symmetry_space_group_name_H-M 'P 1'
_symmetry_Int_Tables_number 1
_cell_length_a 10.9361
_cell_length_b 10.9361
_cell_length_c 10.9361
_cell_angle_alpha 16.68
_cell_angle_beta 16.68
_cell_angle_gamma 16.68
loop_
_symmetry_equiv_pos_as_xyz
'x,y,z'
loop_
_atom_site_label
_atom_site_type_symbol
_atom_site_fract_x
_atom_site_fract_y
_atom_site_fract_z
In1 In 0.2375 0.2375 0.2375
In2 In 0.7625 0.7625 0.7625
Mo1 Mo 0.5000 0.5000 0.5000
Pb1 Pb 0.0000 0.0000 0.0000
```

Computed properties:
N(E_F): 2.73 states/eV per cell
Energy relative to the elements: 0.40 eV/atom

***

Entry 3:
InMo2Pb: optimized geometry, PBE.

Cell and atoms, written as CIF:
```
data_InMo2Pb
_symmetry_space_group_name_H-M 'P 1'
_symmetry_Int_Tables_number 1
_cell_length_a 3.0396
_cell_length_b 3.0396
_cell_length_c 10.1346
_cell_angle_alpha 90.00
_cell_angle_beta 90.00
_cell_angle_gamma 112.85
loop_
_symmetry_equiv_pos_as_xyz
'x,y,z'
loop_
_atom_site_label
_atom_site_type_symbol
_atom_site_fract_x
_atom_site_fract_y
_atom_site_fract_z
In1 In 0.0000 0.0000 0.0000
Mo1 Mo 0.0000 0.0000 0.4264
Mo2 Mo 0.5000 0.5000 0.2422
Pb1 Pb 0.5000 0.5000 0.6828
```

Computed properties:
Energy relative to the lowest polymorph listed for this composition: 174 meV per atom
N(E_F): 2.87 states/eV per cell
Energy relative to the elements: 0.45 eV/atom

***

Entry 4:
In2MoPb: optimized geometry, PBE.

Cell and atoms, written as CIF:
```
data_In2MoPb
_symmetry_space_group_name_H-M 'P 1'
_symmetry_Int_Tables_number 1
_cell_length_a 3.1484
_cell_length_b 3.1484
_cell_length_c 9.4644
_cell_angle_alpha 90.00
_cell_angle_beta 90.00
_cell_angle_gamma 90.00
loop_
_symmetry_equiv_pos_as_xyz
'x,y,z'
loop_
_atom_site_label
_atom_site_type_symbol
_atom_site_fract_x
_atom_site_fract_y
_atom_site_fract_z
In1 In 0.0000 0.0000 0.2035
In2 In 0.0000 0.0000 0.7965
Mo1 Mo 0.5000 0.5000 0.0000
Pb1 Pb 0.5000 0.5000 0.5000
```

Computed properties:
N(E_F): 3.64 states/eV per cell
Energy relative to the elements: 0.40 eV/atom

***

Entry 5:
InMo2Pb: optimized geometry, PBE.

Cell and atoms, written as CIF:
```
data_InMo2Pb
_symmetry_space_group_name_H-M 'P 1'
_symmetry_Int_Tables_number 1
_cell_length_a 4.7461
_cell_length_b 4.7461
_cell_length_c 3.3694
_cell_angle_alpha 90.00
_cell_angle_beta 90.00
_cell_angle_gamma 90.00
loop_
_symmetry_equiv_pos_as_xyz
'x,y,z'
loop_
_atom_site_label
_atom_site_type_symbol
_atom_site_fract_x
_atom_site_fract_y
_atom_site_fract_z
In1 In 0.0000 0.0000 0.0000
Mo1 Mo 0.0000 0.5000 0.5000
Mo2 Mo 0.5000 0.0000 0.5000
Pb1 Pb 0.5000 0.5000 0.0000
```

Computed properties:
Energy relative to the lowest polymorph listed for this composition: 472 meV per atom
N(E_F): 3.95 states/eV per cell
Energy relative to the elements: 0.75 eV/atom

***

Entry 6:
InMo2Pb: optimized geometry, PBE.

Cell and atoms, written as CIF:
```
data_InMo2Pb
_symmetry_space_group_name_H-M 'P 1'
_symmetry_Int_Tables_number 1
_cell_length_a 3.2514
_cell_length_b 3.2522
_cell_length_c 8.3323
_cell_angle_alpha 90.00
_cell_angle_beta 101.19
_cell_angle_gamma 90.00
loop_
_symmetry_equiv_pos_as_xyz
'x,y,z'
loop_
_atom_site_label
_atom_site_type_symbol
_atom_site_fract_x
_atom_site_fract_y
_atom_site_fract_z
In1 In 0.0000 0.0000 0.0000
Mo1 Mo 0.1930 0.0000 0.3867
Mo2 Mo 0.6132 0.5000 0.2291
Pb1 Pb 0.8189 0.5000 0.6415
```

Computed properties:
Energy relative to the lowest polymorph listed for this composition: 0 meV per atom
N(E_F): 3.51 states/eV per cell
Energy relative to the elements: 0.28 eV/atom

***

Entry 7:
InMoPb3: optimized geometry, PBE.

Cell and atoms, written as CIF:
```
data_InMoPb3
_symmetry_space_group_name_H-M 'P 1'
_symmetry_Int_Tables_number 1
_cell_length_a 5.7045
_cell_length_b 5.7045
_cell_length_c 5.7045
_cell_angle_alpha 90.00
_cell_angle_beta 90.00
_cell_angle_gamma 90.00
loop_
_symmetry_equiv_pos_as_xyz
'x,y,z'
loop_
_atom_site_label
_atom_site_type_symbol
_atom_site_fract_x
_atom_site_fract_y
_atom_site_fract_z
In1 In 0.0000 0.0000 0.0000
Mo1 Mo 0.5000 0.5000 0.5000
Pb1 Pb 0.0000 0.0000 0.5000
Pb2 Pb 0.0000 0.5000 0.0000
Pb3 Pb 0.5000 0.0000 0.0000
```

Computed properties:
Energy relative to the lowest polymorph listed for this composition: 848 meV per atom
N(E_F): 3.07 states/eV per cell
Energy relative to the elements: 1.31 eV/atom

***

Entry 8:
InMo2Pb2: optimized geometry, PBE.

Cell and atoms, written as CIF:
```
data_InMo2Pb2
_symmetry_space_group_name_H-M 'P 1'
_symmetry_Int_Tables_number 1
_cell_length_a 6.7049
_cell_length_b 6.7049
_cell_length_c 6.7049
_cell_angle_alpha 139.48
_cell_angle_beta 139.48
_cell_angle_gamma 58.65
loop_
_symmetry_equiv_pos_as_xyz
'x,y,z'
loop_
_atom_site_label
_atom_site_type_symbol
_atom_site_fract_x
_atom_site_fract_y
_atom_site_fract_z
In1 In 0.0000 0.0000 0.0000
Mo1 Mo 0.4088 0.4088 0.0000
Mo2 Mo 0.5912 0.5912 0.0000
Pb1 Pb 0.2500 0.7500 0.5000
Pb2 Pb 0.7500 0.2500 0.5000
```

Computed properties:
Energy relative to the lowest polymorph listed for this composition: 297 meV per atom
N(E_F): 4.81 states/eV per cell
Energy relative to the elements: 0.84 eV/atom

***

Entry 9:
InMo2Pb: optimized geometry, PBE.

Cell and atoms, written as CIF:
```
data_InMo2Pb
_symmetry_space_group_name_H-M 'P 1'
_symmetry_Int_Tables_number 1
_cell_length_a 5.2863
_cell_length_b 5.2863
_cell_length_c 5.5421
_cell_angle_alpha 106.35
_cell_angle_beta 106.35
_cell_angle_gamma 36.34
loop_
_symmetry_equiv_pos_as_xyz
'x,y,z'
loop_
_atom_site_label
_atom_site_type_symbol
_atom_site_fract_x
_atom_site_fract_y
_atom_site_fract_z
In1 In 0.0000 0.0000 0.0000
Mo1 Mo 0.2473 0.2473 0.8326
Mo2 Mo 0.7527 0.7527 0.1674
Pb1 Pb 0.5000 0.5000 0.5000
```

Computed properties:
Energy relative to the lowest polymorph listed for this composition: 301 meV per atom
N(E_F): 2.83 states/eV per cell
Energy relative to the elements: 0.58 eV/atom

***

Entry 10:
In2MoPb: optimized geometry, PBE.

Cell and atoms, written as CIF:
```
data_In2MoPb
_symmetry_space_group_name_H-M 'P 1'
_symmetry_Int_Tables_number 1
_cell_length_a 5.3395
_cell_length_b 5.3395
_cell_length_c 3.1956
_cell_angle_alpha 90.00
_cell_angle_beta 90.00
_cell_angle_gamma 90.00
loop_
_symmetry_equiv_pos_as_xyz
'x,y,z'
loop_
_atom_site_label
_atom_site_type_symbol
_atom_site_fract_x
_atom_site_fract_y
_atom_site_fract_z
In1 In 0.0000 0.5000 0.0000
In2 In 0.5000 0.0000 0.0000
Mo1 Mo 0.0000 0.0000 0.5000
Pb1 Pb 0.5000 0.5000 0.5000
```

Computed properties:
N(E_F): 3.64 states/eV per cell
Energy relative to the elements: 0.61 eV/atom

***

Entry 11:
InMo2Pb: optimized geometry, PBE.

Cell and atoms, written as CIF:
```
data_InMo2Pb
_symmetry_space_group_name_H-M 'P 1'
_symmetry_Int_Tables_number 1
_cell_length_a 4.8131
_cell_length_b 4.8131
_cell_length_c 4.8131
_cell_angle_alpha 60.00
_cell_angle_beta 60.00
_cell_angle_gamma 60.00
loop_
_symmetry_equiv_pos_as_xyz
'x,y,z'
loop_
_atom_site_label
_atom_site_type_symbol
_atom_site_fract_x
_atom_site_fract_y
_atom_site_fract_z
In1 In 0.0000 0.0000 0.0000
Mo1 Mo 0.2500 0.2500 0.2500
Mo2 Mo 0.5000 0.5000 0.5000
Pb1 Pb 0.7500 0.7500 0.7500
```

Computed properties:
Energy relative to the lowest polymorph listed for this composition: 523 meV per atom
N(E_F): 4.24 states/eV per cell
Energy relative to the elements: 0.80 eV/atom

***

Entry 12:
In2MoPb: optimized geometry, PBE.

Cell and atoms, written as CIF:
```
data_In2MoPb
_symmetry_space_group_name_H-M 'P 1'
_symmetry_Int_Tables_number 1
_cell_length_a 3.7956
_cell_length_b 3.7956
_cell_length_c 6.1925
_cell_angle_alpha 90.00
_cell_angle_beta 90.00
_cell_angle_gamma 90.00
loop_
_symmetry_equiv_pos_as_xyz
'x,y,z'
loop_
_atom_site_label
_atom_site_type_symbol
_atom_site_fract_x
_atom_site_fract_y
_atom_site_fract_z
In1 In 0.0000 0.0000 0.0000
In2 In 0.5000 0.5000 0.2551
Mo1 Mo 0.0000 0.0000 0.4772
Pb1 Pb 0.5000 0.5000 0.7204
```

Computed properties:
N(E_F): 1.98 states/eV per cell
Energy relative to the elements: 0.45 eV/atom

***

Entry 13:
InMo2Pb: optimized geometry, PBE.

Cell and atoms, written as CIF:
```
data_InMo2Pb
_symmetry_space_group_name_H-M 'P 1'
_symmetry_Int_Tables_number 1
_cell_length_a 9.3766
_cell_length_b 9.3766
_cell_length_c 9.3766
_cell_angle_alpha 19.19
_cell_angle_beta 19.19
_cell_angle_gamma 19.19
loop_
_symmetry_equiv_pos_as_xyz
'x,y,z'
loop_
_atom_site_label
_atom_site_type_symbol
_atom_site_fract_x
_atom_site_fract_y
_atom_site_fract_z
In1 In 0.0000 0.0000 0.0000
Mo1 Mo 0.2502 0.2502 0.2502
Mo2 Mo 0.7498 0.7498 0.7498
Pb1 Pb 0.5000 0.5000 0.5000
```

Computed properties:
Energy relative to the lowest polymorph listed for this composition: 438 meV per atom
N(E_F): 4.42 states/eV per cell
Energy relative to the elements: 0.72 eV/atom

***

Entry 14:
In2MoPb: optimized geometry, PBE.

Cell and atoms, written as CIF:
```
data_In2MoPb
_symmetry_space_group_name_H-M 'P 1'
_symmetry_Int_Tables_number 1
_cell_length_a 5.7464
_cell_length_b 5.7464
_cell_length_c 5.7464
_cell_angle_alpha 142.08
_cell_angle_beta 129.14
_cell_angle_gamma 65.16
loop_
_symmetry_equiv_pos_as_xyz
'x,y,z'
loop_
_atom_site_label
_atom_site_type_symbol
_atom_site_fract_x
_atom_site_fract_y
_atom_site_fract_z
In1 In 0.2304 0.2304 0.0000
In2 In 0.7696 0.7696 0.0000
Mo1 Mo 0.0000 0.5000 0.5000
Pb1 Pb 0.5000 0.0000 0.5000
```

Computed properties:
N(E_F): 2.69 states/eV per cell
Energy relative to the elements: 0.52 eV/atom

***

Entry 15:
InMoPb3: optimized geometry, PBE.

Cell and atoms, written as CIF:
```
data_InMoPb3
_symmetry_space_group_name_H-M 'P 1'
_symmetry_Int_Tables_number 1
_cell_length_a 5.4382
_cell_length_b 5.4382
_cell_length_c 5.4382
_cell_angle_alpha 90.00
_cell_angle_beta 90.00
_cell_angle_gamma 90.00
loop_
_symmetry_equiv_pos_as_xyz
'x,y,z'
loop_
_atom_site_label
_atom_site_type_symbol
_atom_site_fract_x
_atom_site_fract_y
_atom_site_fract_z
In1 In 0.0000 0.0000 0.0000
Mo1 Mo 0.5000 0.5000 0.5000
Pb1 Pb 0.0000 0.5000 0.5000
Pb2 Pb 0.5000 0.0000 0.5000
Pb3 Pb 0.5000 0.5000 0.0000
```

Computed properties:
Energy relative to the lowest polymorph listed for this composition: 0 meV per atom
N(E_F): 3.66 states/eV per cell
Energy relative to the elements: 0.46 eV/atom

***

Number 1: raw total energy -25.2 eV per cell. Number 2: raw total energy -18.4 eV per cell. Number 3: raw total energy -26.3 eV per cell. Number 4: raw total energy -18.4 eV per cell. Number 5: raw total energy -25.1 eV per cell. Number 6: raw total energy -27.0 eV per cell. Number 7: raw total energy -18.1 eV per cell. Number 8: raw total energy -27.6 eV per cell. Number 9: raw total energy -25.8 eV per cell. Number 10: raw total energy -17.6 eV per cell. Number 11: raw total energy -24.9 eV per cell. Number 12: raw total energy -18.2 eV per cell. Number 13: raw total energy -25.2 eV per cell. Number 14: raw total energy -17.9 eV per cell. Number 15: raw total energy -22.4 eV per cell.